Version w
SmTmAlHg: optimized geometry, PBE-GGA.

a = 3.6172 Å, b = 3.6172 Å, c = 7.6008 Å
α = 90.00°, β = 90.00°, γ = 90.00°
Element x y z (fractional)
1 Sm 0.0000 0.0000 0.0000
2 Tm 0.0000 0.0000 0.4798
3 Al 0.5000 0.5000 0.2486
4 Hg 0.5000 0.5000 0.7171

Properties
Crystal system: tetragonal
Density of states at the Fermi level (states/eV per atom): 0.627

***

Version x
SmTmAlHg: optimized geometry, PBE-GGA.

a = 5.2311 Å, b = 5.2311 Å, c = 5.2311 Å
α = 60.00°, β = 60.00°, γ = 60.00°
Element x y z (fractional)
1 Sm 0.0000 0.0000 0.0000
2 Tm 0.5000 0.5000 0.5000
3 Al 0.7500 0.7500 0.7500
4 Hg 0.2500 0.2500 0.2500

Properties
Crystal system: cubic
Density of states at the Fermi level (states/eV per atom): 1.089

***

Stability ranking, top and bottom: version w is the most stable and version x is the least stable.

***

Version w
AlSnHg: optimized geometry, PBE-GGA.

a = 10.1141 Å, b = 4.3402 Å, c = 6.8580 Å
α = 90.00°, β = 90.00°, γ = 90.00°
Element x y z (fractional)
1 Al 0.1216 0.2500 0.2366
2 Al 0.3784 0.7500 0.7366
3 Al 0.6216 0.2500 0.2634
4 Al 0.8784 0.7500 0.7634
5 Sn 0.1234 0.7500 0.5156
6 Sn 0.3766 0.2500 0.0156
7 Sn 0.6234 0.7500 0.9844
8 Sn 0.8766 0.2500 0.4844
9 Hg 0.1270 0.7500 0.9693
10 Hg 0.3730 0.2500 0.4693
11 Hg 0.6270 0.7500 0.5307
12 Hg 0.8730 0.2500 0.0307

Properties
Crystal system: orthorhombic
Density of states at the Fermi level (states/eV per atom): 0.359

***

Version x
AlSnHg: optimized geometry, PBE-GGA.

a = 3.4936 Å, b = 3.4936 Å, c = 6.7373 Å
α = 90.00°, β = 90.00°, γ = 120.00°
Element x y z (fractional)
1 Al 0.0000 0.0000 0.0000
2 Sn 0.3333 0.6667 0.6669
3 Hg 0.6667 0.3333 0.2939

Properties
Crystal system: trigonal
Density of states at the Fermi level (states/eV per atom): 0.290

***

Version y
AlSnHg: optimized geometry, PBE-GGA.

a = 6.7745 Å, b = 6.7745 Å, c = 6.7745 Å
α = 151.71°, β = 151.71°, γ = 40.44°
Element x y z (fractional)
1 Al 0.0000 0.0000 0.0000
2 Sn 0.6581 0.6581 0.0000
3 Hg 0.3528 0.3528 0.0000

Properties
Crystal system: tetragonal
Density of states at the Fermi level (states/eV per atom): 0.223

***

Stability ranking, top and bottom: version w is the most stable and version y is the least stable.

***

Version w
AlSn3Hg: optimized geometry, PBE-GGA.

a = 5.5649 Å, b = 5.5649 Å, c = 5.5649 Å
α = 90.00°, β = 90.00°, γ = 90.00°
Element x y z (fractional)
1 Al 0.0000 0.0000 0.0000
2 Sn 0.0000 0.5000 0.5000
3 Sn 0.5000 0.0000 0.5000
4 Sn 0.5000 0.5000 0.0000
5 Hg 0.5000 0.5000 0.5000

Properties
Crystal system: cubic
Density of states at the Fermi level (states/eV per atom): 1.022

***

Version x
AlSn3Hg: optimized geometry, PBE-GGA.

a = 5.3355 Å, b = 5.3355 Å, c = 5.3355 Å
α = 90.00°, β = 90.00°, γ = 90.00°
Element x y z (fractional)
1 Al 0.0000 0.0000 0.0000
2 Sn 0.0000 0.0000 0.5000
3 Sn 0.0000 0.5000 0.0000
4 Sn 0.5000 0.0000 0.0000
5 Hg 0.5000 0.5000 0.5000

Properties
Crystal system: cubic
Density of states at the Fermi level (states/eV per atom): 0.830

***

Stability ranking, top and bottom: version x is the most stable and version w is the least stable.

***

Version w
Al2SnHg2: optimized geometry, PBE-GGA.

a = 7.6849 Å, b = 7.6849 Å, c = 3.8791 Å
α = 90.00°, β = 90.00°, γ = 90.00°
Element x y z (fractional)
1 Al 0.1255 0.3745 0.0000
2 Al 0.3745 0.8745 0.0000
3 Al 0.6255 0.1255 0.0000
4 Al 0.8745 0.6255 0.0000
5 Sn 0.0000 0.0000 0.0000
6 Sn 0.5000 0.5000 0.0000
7 Hg 0.1752 0.6752 0.5000
8 Hg 0.3248 0.1752 0.5000
9 Hg 0.6752 0.8248 0.5000
10 Hg 0.8248 0.3248 0.5000

Properties
Crystal system: tetragonal
Density of states at the Fermi level (states/eV per atom): 0.458

***

Version x
Al2SnHg2: optimized geometry, PBE-GGA.

a = 8.4811 Å, b = 8.4811 Å, c = 3.1320 Å
α = 90.00°, β = 90.00°, γ = 90.00°
Element x y z (fractional)
1 Al 0.1186 0.3814 0.0000
2 Al 0.3814 0.8814 0.0000
3 Al 0.6186 0.1186 0.0000
4 Al 0.8814 0.6186 0.0000
5 Sn 0.0000 0.0000 0.5000
6 Sn 0.5000 0.5000 0.5000
7 Hg 0.1794 0.6794 0.5000
8 Hg 0.3206 0.1794 0.5000
9 Hg 0.6794 0.8206 0.5000
10 Hg 0.8206 0.3206 0.5000

Properties
Crystal system: tetragonal
Density of states at the Fermi level (states/eV per atom): 0.370

***

Version y
Al2SnHg2: optimized geometry, PBE-GGA.

a = 7.0105 Å, b = 7.0105 Å, c = 7.0105 Å
α = 144.67°, β = 144.67°, γ = 50.82°
Element x y z (fractional)
1 Al 0.2500 0.7500 0.5000
2 Al 0.7500 0.2500 0.5000
3 Sn 0.0000 0.0000 0.0000
4 Hg 0.3878 0.3878 0.0000
5 Hg 0.6122 0.6122 0.0000

Properties
Crystal system: tetragonal
Density of states at the Fermi level (states/eV per atom): 0.266

***

Stability ranking, top and bottom: version w is the most stable and version x is the least stable.

***

Version w
SrAl3Hg: optimized geometry, PBE-GGA.

a = 12.6543 Å, b = 12.6543 Å, c = 4.4096 Å
α = 99.97°, β = 99.97°, γ = 19.69°
Element x y z (fractional)
1 Sr 0.0874 0.0874 0.3365
2 Sr 0.9126 0.9126 0.6635
3 Al 0.2102 0.2102 0.9620
4 Al 0.2865 0.2865 0.5380
5 Al 0.4740 0.4740 0.2244
6 Al 0.5260 0.5260 0.7756
7 Al 0.7135 0.7135 0.4620
8 Al 0.7898 0.7898 0.0380
9 Hg 0.3629 0.3629 0.1146
10 Hg 0.6371 0.6371 0.8854

Properties
Crystal system: monoclinic
Density of states at the Fermi level (states/eV per atom): 0.285

***

Version x
SrAl3Hg: optimized geometry, PBE-GGA.

a = 6.1526 Å, b = 6.1526 Å, c = 6.1526 Å
α = 90.00°, β = 90.00°, γ = 90.00°
Element x y z (fractional)
1 Sr 0.0000 0.0000 0.0000
2 Al 0.0000 0.0000 0.5000
3 Al 0.0000 0.5000 0.0000
4 Al 0.5000 0.0000 0.0000
5 Hg 0.5000 0.5000 0.5000

Properties
Crystal system: cubic
Density of states at the Fermi level (states/eV per atom): 1.745

***

Version y
SrAl3Hg: optimized geometry, PBE-GGA.

a = 5.2166 Å, b = 5.2166 Å, c = 5.2166 Å
α = 90.00°, β = 90.00°, γ = 90.00°
Element x y z (fractional)
1 Sr 0.0000 0.0000 0.0000
2 Al 0.0000 0.5000 0.5000
3 Al 0.5000 0.0000 0.5000
4 Al 0.5000 0.5000 0.0000
5 Hg 0.5000 0.5000 0.5000

Properties
Crystal system: cubic
Density of states at the Fermi level (states/eV per atom): 0.641

***

Stability ranking, top and bottom: version w is the most stable and version x is the least stable.

***

Version w
Sr2AlHg: optimized geometry, PBE-GGA.

a = 6.2537 Å, b = 6.2537 Å, c = 6.2537 Å
α = 133.93°, β = 133.93°, γ = 67.20°
Element x y z (fractional)
1 Sr 0.0000 0.0000 0.0000
2 Sr 0.7500 0.2500 0.5000
3 Al 0.2500 0.7500 0.5000
4 Hg 0.5000 0.5000 0.0000

Properties
Crystal system: tetragonal
Density of states at the Fermi level (states/eV per atom): 0.892

***

Version x
Sr2AlHg: optimized geometry, PBE-GGA.

a = 4.2748 Å, b = 4.6600 Å, c = 7.0111 Å
α = 90.00°, β = 90.00°, γ = 90.00°
Element x y z (fractional)
1 Sr 0.0000 0.0000 0.0000
2 Sr 0.5000 0.5000 0.3783
3 Al 0.0000 0.0000 0.5338
4 Hg 0.5000 0.5000 0.8391

Properties
Crystal system: orthorhombic
Density of states at the Fermi level (states/eV per atom): 0.644

***

Stability ranking, top and bottom: version w is the most stable and version x is the least stable.

***

Version w
Sr2AlHg: optimized geometry, PBE-GGA.

a = 6.4884 Å, b = 4.8835 Å, c = 8.9915 Å
α = 90.00°, β = 110.20°, γ = 90.00°
Element x y z (fractional)
1 Sr 0.2069 0.2500 0.4241
2 Sr 0.2122 0.2500 0.9302
3 Sr 0.7878 0.7500 0.0698
4 Sr 0.7931 0.7500 0.5759
5 Al 0.3650 0.7500 0.7154
6 Al 0.6350 0.2500 0.2846
7 Hg 0.3772 0.7500 0.2199
8 Hg 0.6228 0.2500 0.7801

Properties
Crystal system: monoclinic
Density of states at the Fermi level (states/eV per atom): 0.878

***

Version x
Sr2AlHg: optimized geometry, PBE-GGA.

a = 11.3463 Å, b = 11.3463 Å, c = 11.3463 Å
α = 152.52°, β = 152.52°, γ = 39.25°
Element x y z (fractional)
1 Sr 0.1252 0.6250 0.0002
2 Sr 0.3750 0.3752 0.5002
3 Sr 0.6248 0.1250 0.9998
4 Sr 0.8750 0.8748 0.4998
5 Al 0.0000 0.0000 0.0000
6 Al 0.7500 0.2500 0.5000
7 Hg 0.2500 0.7500 0.5000
8 Hg 0.5000 0.5000 0.0000

Properties
Crystal system: tetragonal
Density of states at the Fermi level (states/eV per atom): 0.845

***

Stability ranking, top and bottom: version w is the most stable and version x is the least stable.

***

Version w
Sr2AlHg: optimized geometry, PBE-GGA.

a = 5.6586 Å, b = 5.6586 Å, c = 3.9558 Å
α = 90.00°, β = 90.00°, γ = 90.00°
Element x y z (fractional)
1 Sr 0.0000 0.5000 0.0000
2 Sr 0.5000 0.0000 0.0000
3 Al 0.0000 0.0000 0.5000
4 Hg 0.5000 0.5000 0.5000

Properties
Crystal system: tetragonal
Density of states at the Fermi level (states/eV per atom): 0.619

***

Version x
Sr2AlHg: optimized geometry, PBE-GGA.

a = 6.6500 Å, b = 6.6500 Å, c = 6.6500 Å
α = 145.56°, β = 130.68°, γ = 61.54°
Element x y z (fractional)
1 Sr 0.0000 0.0000 0.0000
2 Sr 0.6993 0.1993 0.5000
3 Al 0.2663 0.7663 0.5000
4 Hg 0.4410 0.4410 0.0000

Properties
Crystal system: orthorhombic
Density of states at the Fermi level (states/eV per atom): 0.464

***

Version y
Sr2AlHg: optimized geometry, PBE-GGA.

a = 5.5272 Å, b = 5.5272 Å, c = 5.5272 Å
α = 60.00°, β = 60.00°, γ = 60.00°
Element x y z (fractional)
1 Sr 0.0000 0.0000 0.0000
2 Sr 0.2500 0.2500 0.2500
3 Al 0.5000 0.5000 0.5000
4 Hg 0.7500 0.7500 0.7500

Properties
Crystal system: cubic
Density of states at the Fermi level (states/eV per atom): 0.409

***

Stability ranking, top and bottom: version w is the most stable and version y is the least stable.

***

Version w
Sr2AlHg: optimized geometry, PBE-GGA.

a = 3.8814 Å, b = 3.8814 Å, c = 9.0187 Å
α = 90.00°, β = 90.00°, γ = 90.00°
Element x y z (fractional)
1 Sr 0.0000 0.0000 0.0000
2 Sr 0.5000 0.5000 0.3905
3 Al 0.0000 0.0000 0.6184
4 Hg 0.5000 0.5000 0.7791

Properties
Crystal system: tetragonal
Density of states at the Fermi level (states/eV per atom): 0.822

***

Version x
Sr2AlHg: optimized geometry, PBE-GGA.

a = 5.6400 Å, b = 5.6400 Å, c = 5.6400 Å
α = 60.00°, β = 60.00°, γ = 60.00°
Element x y z (fractional)
1 Sr 0.2500 0.2500 0.2500
2 Sr 0.7500 0.7500 0.7500
3 Al 0.0000 0.0000 0.0000
4 Hg 0.5000 0.5000 0.5000

Properties
Crystal system: cubic
Density of states at the Fermi level (states/eV per atom): 0.878

***

Stability ranking, top and bottom: version x is the most stable and version w is the least stable.

***

Version w
Sr2AlHg: optimized geometry, PBE-GGA.

a = 9.9003 Å, b = 9.9003 Å, c = 9.9003 Å
α = 24.21°, β = 24.21°, γ = 24.21°
Element x y z (fractional)
1 Sr 0.2502 0.2502 0.2502
2 Sr 0.7498 0.7498 0.7498
3 Al 0.5000 0.5000 0.5000
4 Hg 0.0000 0.0000 0.0000

Properties
Crystal system: trigonal
Density of states at the Fermi level (states/eV per atom): 1.010

***

Version x
Sr2AlHg: optimized geometry, PBE-GGA.

a = 8.5888 Å, b = 8.5888 Å, c = 8.5888 Å
α = 31.25°, β = 31.25°, γ = 31.25°
Element x y z (fractional)
1 Sr 0.0000 0.0000 0.0000
2 Sr 0.1814 0.1814 0.1814
3 Al 0.7587 0.7587 0.7587
4 Hg 0.4227 0.4227 0.4227

Properties
Crystal system: trigonal
Density of states at the Fermi level (states/eV per atom): 0.917

***

Stability ranking, top and bottom: version x is the most stable and version w is the least stable.

***

Version w
SrAlHg: optimized geometry, PBE-GGA.

a = 6.4946 Å, b = 6.4946 Å, c = 6.4946 Å
α = 147.13°, β = 147.13°, γ = 47.18°
Element x y z (fractional)
1 Sr 0.0000 0.0000 0.0000
2 Al 0.3080 0.3080 0.0000
3 Hg 0.6888 0.6888 0.0000

Properties
Crystal system: tetragonal
Density of states at the Fermi level (states/eV per atom): 0.289

***

Version x
SrAlHg: optimized geometry, PBE-GGA.

a = 6.2962 Å, b = 6.2962 Å, c = 6.2962 Å
α = 135.15°, β = 95.44°, γ = 101.31°
Element x y z (fractional)
1 Sr 0.2003 0.2500 0.4503
2 Sr 0.7997 0.7500 0.5497
3 Al 0.2392 0.5661 0.1731
4 Al 0.3930 0.0661 0.8269
5 Hg 0.5907 0.9463 0.1444
6 Hg 0.8018 0.4463 0.8556

Properties
Crystal system: orthorhombic
Density of states at the Fermi level (states/eV per atom): 0.611

***

Stability ranking, top and bottom: version x is the most stable and version w is the least stable.

***

Version w
SrAlHg: optimized geometry, PBE-GGA.

a = 5.2830 Å, b = 5.2830 Å, c = 5.2830 Å
α = 60.00°, β = 60.00°, γ = 60.00°
Element x y z (fractional)
1 Sr 0.0000 0.0000 0.0000
2 Al 0.2500 0.2500 0.2500
3 Hg 0.7500 0.7500 0.7500

Properties
Crystal system: cubic
Density of states at the Fermi level (states/eV per atom): 1.511

***

Version x
SrAlHg: optimized geometry, PBE-GGA.

a = 4.8259 Å, b = 4.8259 Å, c = 4.0772 Å
α = 90.00°, β = 90.00°, γ = 120.00°
Element x y z (fractional)
1 Sr 0.0000 0.0000 0.0000
2 Al 0.6667 0.3333 0.5000
3 Hg 0.3333 0.6667 0.5000

Properties
Crystal system: hexagonal
Density of states at the Fermi level (states/eV per atom): 0.580

***

Stability ranking, top and bottom: version x is the most stable and version w is the least stable.